The following is a DFT calculation (PBE) of a relaxed WCl3 crystal.

Results
E_tot = -5.39 eV per atom
Space group = No. 148

a = 8.5652 Å, b = 9.1584 Å, c = 9.1584 Å
α = 110.75°, β = 108.16°, γ = 108.16°
Last column: nearest neighbours and their distance in Å.
Positions (direct):
Cl1 0.1996 0.7430 0.8958  2 W 2.40
Cl2 0.8422 0.9457 0.5912  2 W 2.39
Cl3 0.1035 0.3545 0.9457  2 W 2.39
Cl4 0.1578 0.0543 0.4088  2 W 2.39
Cl5 0.0475 0.7169 0.5213  1 W 2.40
Cl6 0.7490 0.5912 0.6455  2 W 2.39
Cl7 0.8004 0.2570 0.1042  2 W 2.40
Cl8 0.5262 0.4787 0.1956  1 W 2.40
Cl9 0.4738 0.5213 0.8044  1 W 2.40
Cl10 0.6962 0.8958 0.1527  2 W 2.40
Cl11 0.8965 0.6455 0.0543  2 W 2.39
Cl12 0.3306 0.8044 0.2831  1 W 2.40
Cl13 0.3038 0.1042 0.8473  2 W 2.40
Cl14 0.2510 0.4088 0.3545  2 W 2.39
Cl15 0.5434 0.8473 0.7430  2 W 2.40
Cl16 0.4566 0.1527 0.2570  2 W 2.40
Cl17 0.6694 0.1956 0.7169  1 W 2.40
Cl18 0.9525 0.2831 0.4787  1 W 2.40
W1 0.2416 0.2202 0.0892  5 Cl 2.39-2.40
W2 0.9786 0.1310 0.2202  5 Cl 2.39-2.40
W3 0.7584 0.7798 0.9108  5 Cl 2.39-2.40
W4 0.0214 0.8690 0.7798  5 Cl 2.39-2.40
W5 0.8476 0.0892 0.8690  5 Cl 2.39-2.40
W6 0.1524 0.9108 0.1310  5 Cl 2.39-2.40

=====

The following is a DFT calculation (PBE) of a relaxed W2Cl crystal.

Results
E_tot = -7.65 eV per atom
Space group = No. 227

a = 5.4144 Å, b = 5.4144 Å, c = 5.4144 Å
α = 60.00°, β = 60.00°, γ = 60.00°
Last column: nearest neighbours and their distance in Å.
Positions (direct):
W1 0.6250 0.1250 0.6250  6 W 2.71
W2 0.6250 0.6250 0.6250  6 W 2.71
W3 0.6250 0.6250 0.1250  6 W 2.71
W4 0.1250 0.6250 0.6250  6 W 2.71
Cl1 0.0000 0.0000 0.0000  12 W 3.17, 4 Cl 3.32
Cl2 0.2500 0.2500 0.2500  12 W 3.17, 4 Cl 3.32

=====

no.,V (Å³/atom)
1,23.40
2,18.71